Nb3CrPb PBE relaxed; ΔH_f (0 K) = 2.57 eV/atom
1.0
5.094 0.000 0.000
0.000 5.094 0.000
0.000 0.000 5.094
Nb Pb Cr
3 1 1
Direct
0.000 0.500 0.000 Nb
0.500 0.000 0.000 Nb
0.000 0.000 0.500 Nb
0.000 0.000 0.000 Pb
0.500 0.500 0.500 Cr

PmPaRh PBE relaxed; ΔH_f (0 K) = -0.44 eV/atom
1.0
-0.953 -3.442 0.343
1.848 -0.807 -2.968
4.142 1.164 4.432
Pm Rh Pa
1 1 1
Direct
0.000 0.000 0.001 Pm
0.700 0.700 0.399 Rh
0.300 0.300 0.600 Pa

KAlTc2 PBE relaxed; ΔH_f (0 K) = 0.58 eV/atom
1.0
2.720 -0.022 0.000
-0.809 2.596 0.000
0.000 0.000 10.007
K Al Tc
1 1 2
Direct
0.500 0.500 0.750 K
0.500 0.500 0.250 Al
0.000 0.000 0.045 Tc
0.000 0.000 0.455 Tc

Ba2MgZr PBE relaxed; ΔH_f (0 K) = 0.46 eV/atom
1.0
-3.720 -0.209 8.744
0.541 -4.519 -4.206
2.034 -2.075 2.492
Mg Zr Ba
1 1 2
Direct
0.000 0.500 0.500 Mg
0.500 0.500 0.000 Zr
0.000 0.000 0.000 Ba
0.500 0.000 0.500 Ba

Which value of ΔH_f (0 K) does entry 2 give? -0.44 eV/atom